# 1
First-principles (PBE) data for a geometry-optimized VCoTcGe structure, as listed in the Alexandria database.

Results
space group	F-43m, No. 216
E_form	-0.2348	eV per atom
magnetic moment	0.25	μB per atom

abc: 4.1915 4.1915 4.1915
angles: 60.00 60.00 60.00
Closest atoms and distances in Å follow each position.
Sites, in units of the cell vectors:
V1 0.0000 0.0000 0.0000  4 Co 2.57, 4 Tc 2.57
Co1 0.7500 0.7500 0.7500  4 Ge 2.57, 4 V 2.57
Tc1 0.2500 0.2500 0.2500  4 Ge 2.57, 4 V 2.57
Ge1 0.5000 0.5000 0.5000  4 Co 2.57, 4 Tc 2.57

***

# 2
First-principles (PBE) data for a geometry-optimized YCoTcGe2 structure, as listed in the Alexandria database.

Results
space group	I-4m2, No. 119
E_form	-0.4961	eV per atom
magnetic moment	0.00	μB per atom

abc: 5.8219 5.8219 5.8219
angles: 138.17 138.17 60.65
Closest atoms and distances in Å follow each position.
Sites, in units of the cell vectors:
Y1 0.0000 0.0000 0.0000  8 Ge 3.21, 4 Co 3.26, 4 Tc 3.26
Co1 0.2500 0.7500 0.5000  4 Ge 2.41
Tc1 0.7500 0.2500 0.5000  4 Ge 2.41
Ge1 0.3712 0.3712 0.0000  2 Tc 2.41, 2 Co 2.41, 1 Ge 2.59
Ge2 0.6288 0.6288 0.0000  2 Co 2.41, 2 Tc 2.41, 1 Ge 2.59

***

Q: What is the magnetic moment in the second record?
A: 0.00 μB per atom